# 1
# MnZnTc2H

MnZnTc2H after structural relaxation (PBE-GGA, the Alexandria database).

a = 3.880 Å, b = 3.880 Å, c = 3.876 Å
α = 90.00°, β = 90.00°, γ = 90.00°
Space group P4/mmm (No. 123)
Symmetry-distinct sites (fractional):
Mn: 0.000 0.000 0.000 x1
Zn: 0.500 0.500 0.000 x1
Tc: 0.000 0.500 0.500 x2
H: 0.000 0.000 0.500 x1

Summary:
- Total magnetization: 1.9 μB per cell
- Final energy: -6.7886 eV/atom
- Crystal system: tetragonal

# 2
# TaCdSCl2

TaCdSCl2 after structural relaxation (PBE-GGA, the Alexandria database).

a = 4.935 Å, b = 4.935 Å, c = 4.801 Å
α = 90.00°, β = 90.00°, γ = 90.00°
Space group P4/mmm (No. 123)
Symmetry-distinct sites (fractional):
Ta: 0.000 0.000 0.000 x1
Cd: 0.500 0.500 0.500 x1
S: 0.000 0.000 0.500 x1
Cl: 0.000 0.500 0.000 x2

Summary:
- Total magnetization: 0.0 μB per cell
- Final energy: -4.5835 eV/atom
- Crystal system: tetragonal

# 3
# TlSiIr2

TlSiIr2 after structural relaxation (PBE-GGA, the Alexandria database).

a = 3.0414 Å, b = 3.0414 Å, c = 25.5867 Å
α = 90.00°, β = 90.00°, γ = 120.00°
Space group R3m (No. 160, hexagonal axes)
Symmetry-distinct sites (fractional):
Tl: 0.0000 0.0000 0.0000 x3
Si: 0.0000 0.0000 0.7620 x3
Ir: 0.0000 0.0000 0.2453 x3
Ir: 0.0000 0.0000 0.4919 x3

Summary:
- Total magnetization: 0.0 μB per cell
- Final energy: -6.0191 eV/atom
- Crystal system: trigonal

# 4
# BaRe2Os

BaRe2Os after structural relaxation (PBE-GGA, the Alexandria database).

a = 2.886 Å, b = 2.886 Å, c = 9.261 Å
α = 90.00°, β = 90.00°, γ = 90.00°
Space group P4/mmm (No. 123)
Symmetry-distinct sites (fractional):
Ba: 0.000 0.000 0.000 x1
Re: 0.500 0.500 0.308 x2
Os: 0.000 0.000 0.500 x1

Summary:
- ΔH_f (0 K): 936 meV per atom
- Total magnetization: 0.0 μB per cell
- Final energy: -8.5765 eV/atom
- Crystal system: tetragonal

# 5
# Sr2Zn3PdPt4

Sr2Zn3PdPt4 after structural relaxation (PBE-GGA, the Alexandria database).

a = 4.191 Å, b = 4.191 Å, c = 11.333 Å
α = 90.00°, β = 90.00°, γ = 90.00°
Space group P-4m2 (No. 115)
Symmetry-distinct sites (fractional):
Sr: 0.000 0.500 0.249 x2
Zn: 0.000 0.000 0.000 x1
Zn: 0.000 0.500 0.631 x2
Pd: 0.500 0.500 0.000 x1
Pt: 0.000 0.000 0.500 x1
Pt: 0.000 0.500 0.851 x2
Pt: 0.500 0.500 0.500 x1

Summary:
- ΔH_f (0 K): -616 meV per atom
- Total magnetization: 0.0 μB per cell
- Final energy: -4.2706 eV/atom
- Crystal system: tetragonal

# 6
# Sr2Sc

Sr2Sc after structural relaxation (PBE-GGA, the Alexandria database).

a = 13.621 Å, b = 3.999 Å, c = 9.832 Å
α = 90.00°, β = 111.46°, γ = 90.00°
Space group C2/m (No. 12)
Symmetry-distinct sites (fractional):
Sr: 0.016 0.000 0.206 x4
Sr: 0.166 0.500 0.613 x4
Sc: 0.189 0.500 0.061 x4

Summary:
- ΔH_f (0 K): 214 meV per atom
- Total magnetization: 0.0 μB per cell
- Final energy: -3.0174 eV/atom
- Crystal system: monoclinic

# 7
# HoTeBr

HoTeBr after structural relaxation (PBE-GGA, the Alexandria database).

a = 7.267 Å, b = 4.277 Å, c = 7.345 Å
α = 90.00°, β = 95.56°, γ = 90.00°
Space group P2/m (No. 10)
Symmetry-distinct sites (fractional):
Ho: 0.000 0.000 0.000 x1
Ho: 0.500 0.500 0.000 x1
Te: 0.195 0.500 0.242 x2
Br: 0.319 0.000 0.783 x2

Summary:
- Total magnetization: 0.0 μB per cell
- Final energy: -4.6526 eV/atom
- Crystal system: monoclinic

# 8
# PrSm4Tm6

PrSm4Tm6 after structural relaxation (PBE-GGA, the Alexandria database).

a = 6.622 Å, b = 6.622 Å, c = 16.903 Å
α = 90.00°, β = 90.00°, γ = 90.00°
Space group I-42m (No. 121)
Symmetry-distinct sites (fractional):
Pr: 0.000 0.000 0.000 x2
Sm: 0.189 0.189 0.825 x8
Tm: 0.000 0.500 0.000 x4
Tm: 0.178 0.178 0.626 x8

Summary:
- ΔH_f (0 K): 317 meV per atom
- Total magnetization: 0.0 μB per cell
- Final energy: -4.2726 eV/atom
- Crystal system: tetragonal

# 9
# Ag2MoRh

Ag2MoRh after structural relaxation (PBE-GGA, the Alexandria database).

a = 9.797 Å, b = 2.810 Å, c = 4.744 Å
α = 90.00°, β = 99.13°, γ = 90.00°
Space group C2/m (No. 12)
Symmetry-distinct sites (fractional):
Ag: 0.249 0.000 0.250 x4
Mo: 0.000 0.000 0.500 x2
Rh: 0.000 0.500 0.000 x2

Summary:
- ΔH_f (0 K): 346 meV per atom
- Total magnetization: 0.0 μB per cell
- Final energy: -5.6250 eV/atom
- Crystal system: monoclinic

# 10
# Ce2Tl2CoS6

Ce2Tl2CoS6 after structural relaxation (PBE-GGA, the Alexandria database).

a = 6.728 Å, b = 11.456 Å, c = 7.902 Å
α = 90.00°, β = 107.62°, γ = 90.00°
Space group C2/m (No. 12)
Symmetry-distinct sites (fractional):
Ce: 0.000 0.168 0.000 x4
Tl: 0.000 0.324 0.500 x4
Co: 0.000 0.500 0.000 x2
S: 0.218 0.500 0.816 x4
S: 0.221 0.350 0.190 x8

Summary:
- Total magnetization: 2.4 μB per cell
- Final energy: -5.4216 eV/atom
- Crystal system: monoclinic

# 11
# Hg2OsRhI

Hg2OsRhI after structural relaxation (PBE-GGA, the Alexandria database).

a = 5.269 Å, b = 5.269 Å, c = 5.054 Å
α = 90.00°, β = 90.00°, γ = 90.00°
Space group P4/mmm (No. 123)
Symmetry-distinct sites (fractional):
Hg: 0.000 0.500 0.000 x2
Os: 0.000 0.000 0.000 x1
Rh: 0.500 0.500 0.500 x1
I: 0.000 0.000 0.500 x1

Summary:
- Total magnetization: 0.0 μB per cell
- Final energy: -2.7614 eV/atom
- Crystal system: tetragonal

# 12
# ZnInW2

ZnInW2 after structural relaxation (PBE-GGA, the Alexandria database).

a = 3.464 Å, b = 4.584 Å, c = 8.590 Å
α = 90.00°, β = 90.00°, γ = 90.00°
Space group Imm2 (No. 44)
Symmetry-distinct sites (fractional):
Zn: 0.000 0.000 0.000 x2
In: 0.000 0.500 0.248 x2
W: 0.000 0.000 0.478 x2
W: 0.000 0.500 0.753 x2

Summary:
- ΔH_f (0 K): 499 meV per atom
- Total magnetization: 0.0 μB per cell
- Final energy: -6.9803 eV/atom
- Crystal system: orthorhombic

# 13
# K3Ac3HoO8

K3Ac3HoO8 after structural relaxation (PBE-GGA, the Alexandria database).

a = 7.5326 Å, b = 7.5326 Å, c = 19.0865 Å
α = 90.00°, β = 90.00°, γ = 120.00°
Space group R-3m (No. 166, hexagonal axes)
Symmetry-distinct sites (fractional):
K: 0.0000 0.5000 0.0000 x9
Ac: 0.0000 0.5000 0.5000 x9
Ho: 0.0000 0.0000 0.5000 x3
O: 0.0000 0.0000 0.2324 x6
O: 0.0255 0.5127 0.2263 x18

Summary:
- Total magnetization: 2.8 μB per cell
- Final energy: -6.5805 eV/atom
- Crystal system: trigonal